1.
ZrBe3Nb: optimized geometry, PBE.

**Total moment**: 0.001 μB/cell
**Uncorrected energy**: -21.978 eV per formula unit

CIF file:
```
data_ZrBe3Nb
_chemical_formula_sum 'Zr1 Be3 Nb1'
_cell_length_a 4.329
_cell_length_b 4.329
_cell_length_c 4.329
_cell_angle_alpha 90.00
_cell_angle_beta 90.00
_cell_angle_gamma 90.00
_symmetry_space_group_name_H-M 'P m -3 m'
_symmetry_Int_Tables_number 221
_symmetry_space_group_name_Hall '-P 4 2 3'
loop_
_atom_site_label
_atom_site_type_symbol
_atom_site_fract_x
_atom_site_fract_y
_atom_site_fract_z
Zr1 Zr 0.000 0.000 0.000
Be1 Be 0.000 0.000 0.500
Nb1 Nb 0.500 0.500 0.500
```

=====

2.
ZrBeNb3: optimized geometry, PBE.

**Total moment**: 0.000 μB/cell
**Uncorrected energy**: -32.691 eV per formula unit

CIF file:
```
data_ZrBeNb3
_chemical_formula_sum 'Zr1 Be1 Nb3'
_cell_length_a 4.876
_cell_length_b 4.876
_cell_length_c 4.876
_cell_angle_alpha 90.00
_cell_angle_beta 90.00
_cell_angle_gamma 90.00
_symmetry_space_group_name_H-M 'P m -3 m'
_symmetry_Int_Tables_number 221
_symmetry_space_group_name_Hall '-P 4 2 3'
loop_
_atom_site_label
_atom_site_type_symbol
_atom_site_fract_x
_atom_site_fract_y
_atom_site_fract_z
Zr1 Zr 0.000 0.000 0.000
Be1 Be 0.500 0.500 0.500
Nb1 Nb 0.000 0.000 0.500
```

=====

3.
ZrBeNb2: optimized geometry, PBE.

**Total moment**: 0.000 μB/cell
**Uncorrected energy**: -30.854 eV per formula unit

CIF file:
```
data_ZrBeNb2
_chemical_formula_sum 'Zr4 Be4 Nb8'
_cell_length_a 7.487
_cell_length_b 7.487
_cell_length_c 5.116
_cell_angle_alpha 90.00
_cell_angle_beta 90.00
_cell_angle_gamma 90.00
_symmetry_space_group_name_H-M 'I -4 2 d'
_symmetry_Int_Tables_number 122
_symmetry_space_group_name_Hall 'I -4 2bw'
loop_
_atom_site_label
_atom_site_type_symbol
_atom_site_fract_x
_atom_site_fract_y
_atom_site_fract_z
Zr1 Zr 0.000 0.000 0.000
Be1 Be 0.000 0.000 0.500
Nb1 Nb 0.201 0.250 0.625
```

=====

4.
ZrBe3Nb: optimized geometry, PBE.

**Total moment**: 0.000 μB/cell
**Uncorrected energy**: -25.349 eV per formula unit

CIF file:
```
data_ZrBe3Nb
_chemical_formula_sum 'Zr1 Be3 Nb1'
_cell_length_a 4.312
_cell_length_b 4.312
_cell_length_c 4.312
_cell_angle_alpha 90.00
_cell_angle_beta 90.00
_cell_angle_gamma 90.00
_symmetry_space_group_name_H-M 'P m -3 m'
_symmetry_Int_Tables_number 221
_symmetry_space_group_name_Hall '-P 4 2 3'
loop_
_atom_site_label
_atom_site_type_symbol
_atom_site_fract_x
_atom_site_fract_y
_atom_site_fract_z
Zr1 Zr 0.000 0.000 0.000
Be1 Be 0.000 0.500 0.500
Nb1 Nb 0.500 0.500 0.500
```